Entry 1:
Entry from the Open Quantum Materials Database: a relaxed GaBiW4C2 crystal (PBE).

Unit cell a=3.1670 b=3.1670 c=13.7596 alpha=90.00 beta=90.00 gamma=120.00
Space group P-6m2 (No. 187)
Asymmetric unit:
Ga: 0.0000 0.0000 0.0000 x1
Bi: 0.6667 0.3333 0.5000 x1
W: 0.0000 0.0000 0.3101 x2
W: 0.6667 0.3333 0.1481 x2
C: 0.3333 0.6667 0.2332 x2

Values from the calculation:
M_tot: 0.01 Bohr magnetons per cell
density: 14.4 g cm⁻³
final energy: -0.3434 hartree per atom

Entry 2:
Entry from the Open Quantum Materials Database: a relaxed Gd3BiC crystal (PBE).

Unit cell a=4.9733 b=4.9733 c=4.9733 alpha=90.00 beta=90.00 gamma=90.00
Space group Pm-3m (No. 221)
Asymmetric unit:
Gd: 0.0000 0.0000 0.5000 x3
Bi: 0.5000 0.5000 0.5000 x1
C: 0.0000 0.0000 0.0000 x1

Values from the calculation:
M_tot: 0.00 Bohr magnetons per cell
density: 9.4 g cm⁻³
final energy: -0.2195 hartree per atom

Entry 3:
Entry from the Open Quantum Materials Database: a relaxed Hf4GeBiC2 crystal (PBE).

Unit cell a=3.3606 b=3.3606 c=14.0293 alpha=90.00 beta=90.00 gamma=120.00
Space group P-6m2 (No. 187)
Asymmetric unit:
Hf: 0.0000 0.0000 0.1514 x2
Hf: 0.6667 0.3333 0.3247 x2
Ge: 0.6667 0.3333 0.0000 x1
Bi: 0.0000 0.0000 0.5000 x1
C: 0.3333 0.6667 0.2393 x2

Values from the calculation:
M_tot: 0.00 Bohr magnetons per cell
density: 12.3 g cm⁻³
final energy: -0.3330 hartree per atom

Entry 4:
Entry from the Open Quantum Materials Database: a relaxed Lu4GeBiC2 crystal (PBE).

Unit cell a=3.5522 b=3.5522 c=14.8232 alpha=90.00 beta=90.00 gamma=120.00
Space group P-6m2 (No. 187)
Asymmetric unit:
Lu: 0.0000 0.0000 0.1506 x2
Lu: 0.3333 0.6667 0.3241 x2
Ge: 0.3333 0.6667 0.0000 x1
Bi: 0.0000 0.0000 0.5000 x1
C: 0.6667 0.3333 0.2424 x2

Values from the calculation:
M_tot: 0.00 Bohr magnetons per cell
density: 10.3 g cm⁻³
final energy: -0.2299 hartree per atom

Entry 5:
Entry from the Open Quantum Materials Database: a relaxed GeBiMo4C2 crystal (PBE).

Unit cell a=3.2112 b=3.2112 c=13.2360 alpha=90.00 beta=90.00 gamma=120.00
Space group P-6m2 (No. 187)
Asymmetric unit:
Ge: 0.0000 0.0000 0.0000 x1
Bi: 0.3333 0.6667 0.5000 x1
Mo: 0.0000 0.0000 0.3099 x2
Mo: 0.3333 0.6667 0.1453 x2
C: 0.6667 0.3333 0.2352 x2

Values from the calculation:
M_tot: 0.01 Bohr magnetons per cell
density: 9.7 g cm⁻³
final energy: -0.3205 hartree per atom

Entry 6:
Entry from the Open Quantum Materials Database: a relaxed Ta4GeBiC2 crystal (PBE).

Unit cell a=3.3194 b=3.3194 c=13.0814 alpha=90.00 beta=90.00 gamma=120.00
Space group P-6m2 (No. 187)
Asymmetric unit:
Ta: 0.0000 0.0000 0.1487 x2
Ta: 0.3333 0.6667 0.3187 x2
Ge: 0.3333 0.6667 0.0000 x1
Bi: 0.0000 0.0000 0.5000 x1
C: 0.6667 0.3333 0.2363 x2

Values from the calculation:
M_tot: 0.01 Bohr magnetons per cell
density: 13.7 g cm⁻³
final energy: -0.3526 hartree per atom

Number 1: V 119.5 Å³/cell. Number 2: V 123.0 Å³/cell. Number 3: V 137.2 Å³/cell. Number 4: V 162.0 Å³/cell. Number 5: V 118.2 Å³/cell. Number 6: V 124.8 Å³/cell.